# LiHfAu2, optimized geometry, DFT PBE
# calculated formation energy	-0.485	eV/atom
data_LiHfAu2
_cell_length_a 3.183
_cell_length_b 3.183
_cell_length_c 6.865
_cell_angle_alpha 90.00
_cell_angle_beta 90.00
_cell_angle_gamma 90.00
_space_group_name_H-M_alt 'P 4/m m m'
_space_group_IT_number 123
_space_group_name_Hall '-P 4 2'
loop_
_atom_site_label
_atom_site_type_symbol
_atom_site_fract_x
_atom_site_fract_y
_atom_site_fract_z
_atom_site_occupancy
Li1 Li 0.000 0.000 0.000 1
Hf1 Hf 0.000 0.000 0.500 1
Au1 Au 0.500 0.500 0.227 1